Record 1
Density functional theory data (GGA-PBE) for Dy4ThTl5 after structural relaxation.

Cell: 3.6421 3.6421 20.8365 Å, 90.00 90.00 90.00°
With the nearest neighbours (Å) after each atom.
Positions (direct):
1 Tl 0.5000 0.5000 0.5000  8 Dy 3.29, 4 Tl 3.64
2 Tl 0.5000 0.5000 0.3042  8 Dy 3.28-3.30, 4 Tl 3.64
3 Th 0.0000 0.0000 0.0000  8 Tl 3.42, 4 Th 3.64
4 Tl 0.5000 0.5000 0.8920  4 Dy 3.27, 4 Th 3.42, 4 Tl 3.64
5 Dy 0.0000 0.0000 0.2048  8 Tl 3.27-3.30, 4 Dy 3.64
6 Dy 0.0000 0.0000 0.4017  8 Tl 3.28-3.29, 4 Dy 3.64
7 Tl 0.5000 0.5000 0.6958  8 Dy 3.28-3.30, 4 Tl 3.64
8 Tl 0.5000 0.5000 0.1080  4 Dy 3.27, 4 Th 3.42, 4 Tl 3.64
9 Dy 0.0000 0.0000 0.7952  8 Tl 3.27-3.30, 4 Dy 3.64
10 Dy 0.0000 0.0000 0.5983  8 Tl 3.28-3.29, 4 Dy 3.64

The energy of formation from the pure elements is -301 meV per atom. Its density is 11.4 g/cm³.

***

Record 2
Density functional theory data (GGA-PBE) for CaAlHg2 after structural relaxation.

Cell: 4.8884 4.8884 9.9672 Å, 75.81 75.81 90.00°
With the nearest neighbours (Å) after each atom.
Positions (direct):
1 Hg 0.1993 0.6250 0.2500  2 Al 2.77, 2 Hg 2.99, 2 Ca 3.08
2 Hg 0.8750 0.8007 0.7500  2 Al 2.77, 2 Hg 2.99, 2 Ca 3.08
3 Al 0.5000 0.5000 0.0000  4 Hg 2.77
4 Hg 0.3750 0.4493 0.7500  2 Al 2.77, 2 Hg 2.99, 2 Ca 3.08
5 Al 0.2500 0.7500 0.5000  4 Hg 2.77
6 Ca 0.7500 0.2500 0.5000  4 Hg 3.08
7 Hg 0.5507 0.1250 0.2500  2 Al 2.77, 2 Hg 2.99, 2 Ca 3.08
8 Ca 0.0000 0.0000 0.0000  4 Hg 3.08

The energy of formation from the pure elements is -76 meV per atom. Its density is 7.0 g/cm³.

***

Record 3
Density functional theory data (GGA-PBE) for Li2GaO after structural relaxation.

Cell: 4.1752 4.1752 4.1752 Å, 60.00 60.00 60.00°
With the nearest neighbours (Å) after each atom.
Positions (direct):
1 Li 0.2500 0.2500 0.2500  4 O 2.56, 4 Ga 2.56
2 Li 0.7500 0.7500 0.7500  4 Ga 2.56, 4 O 2.56
3 O 0.0000 0.0000 0.0000  8 Li 2.56
4 Ga 0.5000 0.5000 0.5000  8 Li 2.56

Its density is 3.2 g/cm³. The energy relative to the elements, uncorrected comes out at -0.425 eV/atom. Its energy above the most stable polymorph in this dataset is 0.4681 eV/atom.

***

Record 4
Density functional theory data (GGA-PBE) for CuBSb2Pb after structural relaxation.

Cell: 4.7271 5.1952 4.7271 Å, 90.00 90.00 90.00°
With the nearest neighbours (Å) after each atom.
Positions (direct):
1 Sb 0.5000 0.0000 0.0000  2 B 2.36
2 Pb 0.0000 0.5000 0.0000  2 B 2.60
3 Cu 0.5000 0.5000 0.5000  4 Pb 3.34, 8 Sb 3.51
4 B 0.0000 0.0000 0.0000  4 Sb 2.36, 2 Pb 2.60
5 Sb 0.0000 0.0000 0.5000  2 B 2.36

Its density is 7.5 g/cm³. The energy relative to the elements, uncorrected comes out at 0.871 eV/atom.

***

Record 5
Density functional theory data (GGA-PBE) for Th4AgPd15 after structural relaxation.

Cell: 4.2116 4.2116 20.5892 Å, 90.00 90.00 90.00°
With the nearest neighbours (Å) after each atom.
Positions (direct):
1 Ag 0.0000 0.0000 0.0000  12 Pd 2.87-2.98
2 Pd 0.5000 0.5000 0.6010  8 Pd 2.96-2.97, 4 Th 2.98
3 Pd 0.0000 0.5000 0.5000  8 Pd 2.96-2.98, 4 Th 3.00
4 Th 0.0000 0.0000 0.1872  12 Pd 2.84-3.09
5 Pd 0.5000 0.5000 0.0000  8 Pd 2.87, 4 Ag 2.98
6 Pd 0.5000 0.0000 0.0947  2 Th 2.84, 8 Pd 2.87-2.98, 2 Ag 2.87
7 Pd 0.5000 0.5000 0.3990  8 Pd 2.96-2.97, 4 Th 2.98
8 Th 0.0000 0.0000 0.3961  12 Pd 2.93-3.00
9 Pd 0.0000 0.5000 0.2970  4 Th 2.93-3.09, 8 Pd 2.94-2.98
10 Th 0.0000 0.0000 0.6039  12 Pd 2.93-3.00
11 Pd 0.5000 0.0000 0.7030  4 Th 2.93-3.09, 8 Pd 2.94-2.98
12 Th 0.0000 0.0000 0.8128  12 Pd 2.84-3.09
13 Pd 0.5000 0.0000 0.9053  2 Th 2.84, 8 Pd 2.87-2.98, 2 Ag 2.87
14 Pd 0.5000 0.5000 0.1970  8 Pd 2.94-2.98, 4 Th 2.98
15 Pd 0.5000 0.5000 0.8030  8 Pd 2.94-2.98, 4 Th 2.98
16 Pd 0.0000 0.5000 0.7030  4 Th 2.93-3.09, 8 Pd 2.94-2.98
17 Pd 0.5000 0.0000 0.2970  4 Th 2.93-3.09, 8 Pd 2.94-2.98
18 Pd 0.5000 0.0000 0.5000  8 Pd 2.96-2.98, 4 Th 3.00
19 Pd 0.0000 0.5000 0.9053  2 Th 2.84, 2 Ag 2.87, 8 Pd 2.87-2.98
20 Pd 0.0000 0.5000 0.0947  2 Th 2.84, 8 Pd 2.87-2.98, 2 Ag 2.87

The energy of formation from the pure elements is -785 meV per atom. Its density is 12.0 g/cm³.

***

Record 6
Density functional theory data (GGA-PBE) for Ho4InOs after structural relaxation.

Cell: 9.6132 9.6132 9.6132 Å, 60.00 60.00 60.00°
With the nearest neighbours (Å) after each atom.
Positions (direct):
1 Ho 0.5575 0.9425 0.9425  2 Os 2.77
2 Os 0.1663 0.6112 0.6112  6 Ho 2.77-2.85
3 Ho 0.9425 0.5575 0.5575  2 Os 2.77
4 Ho 0.5575 0.9425 0.5575  2 Os 2.77
5 In 0.4978 0.1674 0.1674  3 In 3.18, 9 Ho 3.24-3.47
6 Os 0.6112 0.6112 0.1663  6 Ho 2.77-2.85
7 Ho 0.4026 0.4026 0.7923  3 Os 2.85
8 Os 0.6112 0.1663 0.6112  6 Ho 2.77-2.85
9 Ho 0.8059 0.1941 0.8059  2 In 3.24, 6 Ho 3.40-3.57, 2 Os 3.40
10 Ho 0.1941 0.1941 0.8059  2 In 3.24, 6 Ho 3.40-3.57, 2 Os 3.40
11 Os 0.6112 0.6112 0.6112  6 Ho 2.77-2.85
12 In 0.1674 0.1674 0.4978  3 In 3.18, 9 Ho 3.24-3.47
13 Ho 0.1941 0.8059 0.1941  2 In 3.24, 6 Ho 3.40-3.57, 2 Os 3.40
14 Ho 0.9425 0.9425 0.5575  2 Os 2.77
15 Ho 0.7923 0.4026 0.4026  3 Os 2.85
16 Ho 0.9425 0.5575 0.9425  2 Os 2.77
17 Ho 0.8059 0.8059 0.1941  2 In 3.24, 6 Ho 3.40-3.57, 2 Os 3.40
18 In 0.1674 0.1674 0.1674  3 In 3.18, 9 Ho 3.24-3.47
19 Ho 0.4026 0.4026 0.4026  3 Os 2.85
20 Ho 0.5575 0.5575 0.9425  2 Os 2.77
21 Ho 0.4026 0.7923 0.4026  3 Os 2.85
22 Ho 0.1941 0.8059 0.8059  2 In 3.24, 6 Ho 3.40-3.57, 2 Os 3.40
23 Ho 0.8059 0.1941 0.1941  2 In 3.24, 6 Ho 3.40-3.57, 2 Os 3.40
24 In 0.1674 0.4978 0.1674  3 In 3.18, 9 Ho 3.24-3.47

The energy of formation from the pure elements is -352 meV per atom. Its density is 10.2 g/cm³. Its energy above the most stable polymorph in this dataset is 0.0000 eV/atom.